Compound: Sb2Pb
Source: Alexandria via LeMat-Bulk
Functional: PBE-GGA
Structure: relaxed

Unit cell a=6.7871 b=5.3303 c=10.0417 alpha=90.00 beta=90.00 gamma=90.00
Fractional coordinates of all 12 atoms:
Sb: 0.0340 0.2500 0.1786
Sb: 0.1889 0.2500 0.8942
Sb: 0.3111 0.7500 0.3942
Sb: 0.4660 0.7500 0.6786
Sb: 0.5340 0.2500 0.3214
Sb: 0.6889 0.2500 0.6058
Sb: 0.8111 0.7500 0.1058
Sb: 0.9660 0.7500 0.8214
Pb: 0.1704 0.2500 0.5651
Pb: 0.3296 0.7500 0.0651
Pb: 0.6704 0.2500 0.9349
Pb: 0.8296 0.7500 0.4349

Properties
symmetry	Pnma, No. 62
distance to the lowest polymorph of the same formula	43	meV per atom
size of the total moment	0.0	Bohr magnetons per cell
formation energy without anion corrections	0.33	eV/f.u.